1.
A plane-wave DFT calculation with GGA-PBE was carried out for an optimized crystal structure of SrPaBe.

## Properties
The distance to the lowest polymorph of the same formula comes out at 0.0 meV per atom. The total moment comes out at 0.3282 μB per atom. The density is 6.7 g/cm³. For the volume, the calculation gives 323.7 Å³/cell.

Cell lengths 6.8665, 6.8665, 6.8665 Å; angles 90.00, 90.00, 90.00 degrees
Space group F-43m (No. 216)
One atom of each set of equivalent atoms:
1 Sr 0.0000 0.0000 0.0000 x4
2 Pa 0.0000 0.0000 0.5000 x4
3 Be 0.2500 0.2500 0.7500 x4

=====

2.
A plane-wave DFT calculation with GGA-PBE was carried out for an optimized crystal structure of PaTaBe.

## Properties
The total energy comes out at -7.883 eV per atom. The total moment comes out at 0.0020 μB per atom. The density is 12.2 g/cm³. For the volume, the calculation gives 229.4 Å³/cell.

Cell lengths 6.1217, 6.1217, 6.1217 Å; angles 90.00, 90.00, 90.00 degrees
Space group F-43m (No. 216)
One atom of each set of equivalent atoms:
1 Pa 0.0000 0.0000 0.0000 x4
2 Ta 0.0000 0.0000 0.5000 x4
3 Be 0.2500 0.2500 0.2500 x4

=====

3.
A plane-wave DFT calculation with GGA-PBE was carried out for an optimized crystal structure of TbPaBe.

## Properties
The distance to the lowest polymorph of the same formula comes out at 0.0 meV per atom. The total moment comes out at 0.0004 μB per atom. The density is 9.5 g/cm³. For the volume, the calculation gives 280.2 Å³/cell.

Cell lengths 6.5437, 6.5437, 6.5437 Å; angles 90.00, 90.00, 90.00 degrees
Space group F-43m (No. 216)
One atom of each set of equivalent atoms:
1 Tb 0.0000 0.0000 0.0000 x4
2 Pa 0.0000 0.0000 0.5000 x4
3 Be 0.2500 0.2500 0.7500 x4